This record from Alexandria describes a relaxed Co2PBr crystal. The functional is GGA-PBEsol.

- Crystal system: orthorhombic
- Symmetry: Pmmm (47)
- Calculated total energy: -5.17 eV per atom
- Formation energy without anion corrections: 617 meV per atom
- M_tot: 1.92 μB/cell
- Excess energy over the best structure of this formula in the dataset: 15.399 kcal/mol of atoms

Cell: 2.850 3.644 5.690 Å, 90.00 90.00 90.00°
Each line ends with the local moment (μB).
Sites, in units of the cell vectors:
Co1 0.500 0.000 0.500  1.22
Br1 0.000 0.500 0.500  0.04
P1 0.500 0.500 0.000  0.00
Co2 0.000 0.000 0.000  0.69